Entry 1:
! PBE Tm2Ga4CuIr3, optimized geometry; values from VASP
! **Space group**: P-4m2 (115)
! **N(E_F)**: 0.341 states/eV/atom
! **Final energy**: -58.03 eV/cell
! **ΔE_f**: -630 meV per atom
&SYSTEM
  ibrav = 0, nat = 10, ntyp = 4
/
ATOMIC_SPECIES
Tm 168.93 Tm.upf
Ga 69.72 Ga.upf
Cu 63.55 Cu.upf
Ir 192.22 Ir.upf
ATOMIC_POSITIONS angstrom
Tm 0.000 1.968 2.795
Tm 1.968 0.000 8.627
Ga 0.000 0.000 0.000
Ga 0.000 1.968 7.241
Ga 1.968 0.000 4.180
Ga 1.968 1.968 0.000
Cu 0.000 0.000 5.711
Ir 0.000 1.968 9.752
Ir 1.968 0.000 1.669
Ir 1.968 1.968 5.711
CELL_PARAMETERS angstrom
3.935 0.000 0.000
0.000 3.935 0.000
0.000 0.000 11.422

---

Entry 2:
! PBE RbAs2F8, optimized geometry; values from VASP
! **Formation energy (no corrections)**: -2134 meV per atom
! **Space group**: C2/m (12)
! **N(E_F)**: 0.255 states/eV/atom
! **Final energy**: -48.71 eV/cell
&SYSTEM
  ibrav = 0, nat = 11, ntyp = 3
/
ATOMIC_SPECIES
Rb 85.47 Rb.upf
As 74.92 As.upf
F 19.00 F.upf
ATOMIC_POSITIONS angstrom
Rb 0.000 0.000 0.000
As 4.181 0.000 2.484
As 9.268 0.000 2.088
F 5.167 1.351 1.882
F 3.155 0.000 0.896
F 8.282 1.351 2.690
F 5.176 0.000 4.049
F 8.273 0.000 0.524
F 5.167 -1.351 1.882
F 10.294 0.000 3.676
F 8.282 -1.351 2.690
CELL_PARAMETERS angstrom
7.185 -2.868 0.000
7.185 2.868 0.000
-0.922 0.000 4.572

---

Entry 3:
! PBE TbPm2Hg, optimized geometry; values from VASP
! **Space group**: P4/nmm (129)
! **Offset from the most stable computed form**: 0 kJ/mol of formula units
! **N(E_F)**: 1.191 states/eV/atom
! **Final energy**: -30.70 eV/cell
! **ΔE_f**: -229 meV per atom
&SYSTEM
  ibrav = 0, nat = 8, ntyp = 3
/
ATOMIC_SPECIES
Tb 158.93 Tb.upf
Pm 145.00 Pm.upf
Hg 200.59 Hg.upf
ATOMIC_POSITIONS angstrom
Tb 1.304 1.304 1.948
Tb 3.913 3.913 6.983
Pm 1.304 1.304 6.954
Pm 1.304 3.913 4.466
Pm 3.913 1.304 4.466
Pm 3.913 3.913 1.978
Hg 1.304 3.913 0.000
Hg 3.913 1.304 0.000
CELL_PARAMETERS angstrom
5.218 0.000 0.000
0.000 5.218 0.000
0.000 0.000 8.931

---

Entry 4:
! PBE PmC2, optimized geometry; values from VASP
! **Space group**: C2/c (15)
! **Offset from the most stable computed form**: 0 kJ/mol of formula units
! **N(E_F)**: 0.235 states/eV/atom
! **Final energy**: -47.28 eV/cell
! **ΔE_f**: -148 meV per atom
&SYSTEM
  ibrav = 0, nat = 6, ntyp = 2
/
ATOMIC_SPECIES
Pm 145.00 Pm.upf
C 12.01 C.upf
ATOMIC_POSITIONS angstrom
Pm 1.926 1.304 5.038
Pm 2.831 -1.304 1.679
C 1.849 0.564 0.352
C 0.944 -0.564 3.710
C 3.812 0.564 3.007
C 2.907 -0.564 6.365
CELL_PARAMETERS angstrom
3.283 -2.131 0.000
3.283 2.131 0.000
-1.810 0.000 6.717